#one
DFT (PBE) results for a relaxed BiWSCl2 crystal.

abc: 5.297 5.297 5.532
angles: 90.00 90.00 90.00
Last column: magnetic moment on the atom in μB.
Sites, in units of the cell vectors:
S 0.000 0.000 0.500  -0.11
Bi 0.000 0.000 0.000  0.02
W 0.500 0.500 0.500  3.58
Cl 0.000 0.500 0.000  0.04
Cl 0.500 0.000 0.000  0.04

As for the space-group type: No. 123.

#two
DFT (PBE) results for a relaxed BiWSCl2 crystal.

abc: 4.911 4.911 4.684
angles: 90.00 90.00 90.00
Last column: magnetic moment on the atom in μB.
Sites, in units of the cell vectors:
S 0.000 0.000 0.500  -0.04
Bi 0.500 0.500 0.500  0.22
W 0.000 0.000 0.000  0.91
Cl 0.000 0.500 0.000  0.02
Cl 0.500 0.000 0.000  0.02

As for the space-group type: No. 123.

Stability summary - winner: #two; margin: 777 meV per atom.

#one
DFT (PBE) results for a relaxed ZnBiS2Cl crystal.

abc: 5.273 5.273 5.349
angles: 90.00 90.00 90.00
Last column: magnetic moment on the atom in μB.
Sites, in units of the cell vectors:
S 0.000 0.500 0.000  0.10
S 0.500 0.000 0.000  0.10
Zn 0.500 0.500 0.500  0.08
Bi 0.000 0.000 0.000  0.01
Cl 0.000 0.000 0.500  0.00

As for the space-group type: No. 123.

#two
DFT (PBE) results for a relaxed ZnBiS2Cl crystal.

abc: 4.825 4.825 4.620
angles: 90.00 90.00 90.00
Sites, in units of the cell vectors:
S 0.000 0.500 0.000
S 0.500 0.000 0.000
Zn 0.000 0.000 0.000
Bi 0.500 0.500 0.500
Cl 0.000 0.000 0.500

As for the space-group type: No. 123.

Stability summary - winner: #two; margin: 365 meV per atom.

#one
DFT (PBE) results for a relaxed ZnBiSCl2 crystal.

abc: 5.446 5.446 5.313
angles: 90.00 90.00 90.00
Last column: magnetic moment on the atom in μB.
Sites, in units of the cell vectors:
S 0.000 0.000 0.500  0.17
Zn 0.500 0.500 0.500  0.23
Bi 0.000 0.000 0.000  0.02
Cl 0.000 0.500 0.000  0.01
Cl 0.500 0.000 0.000  0.01

As for the space-group type: No. 123.

#two
DFT (PBE) results for a relaxed ZnBiSCl2 crystal.

abc: 4.722 4.722 5.022
angles: 90.00 90.00 90.00
Sites, in units of the cell vectors:
S 0.000 0.000 0.500
Zn 0.000 0.000 0.000
Bi 0.500 0.500 0.500
Cl 0.000 0.500 0.000
Cl 0.500 0.000 0.000

As for the space-group type: No. 123.

Stability summary - winner: #two; margin: 183 meV per atom.

#one
DFT (PBE) results for a relaxed ZrBiS2Cl crystal.

abc: 5.358 5.358 5.133
angles: 90.00 90.00 90.00
Last column: magnetic moment on the atom in μB.
Sites, in units of the cell vectors:
S 0.000 0.500 0.000  -0.05
S 0.500 0.000 0.000  -0.05
Bi 0.000 0.000 0.000  0.00
Zr 0.500 0.500 0.500  1.50
Cl 0.000 0.000 0.500  0.02

As for the space-group type: No. 123.

#two
DFT (PBE) results for a relaxed ZrBiS2Cl crystal.

abc: 5.038 5.038 4.964
angles: 90.00 90.00 90.00
Sites, in units of the cell vectors:
S 0.000 0.500 0.000
S 0.500 0.000 0.000
Bi 0.500 0.500 0.500
Zr 0.000 0.000 0.000
Cl 0.000 0.000 0.500

As for the space-group type: No. 123.

Stability summary - winner: #two; margin: 949 meV per atom.

#one
DFT (PBE) results for a relaxed BiSb2Cl crystal.

abc: 10.020 10.020 7.590
angles: 48.69 48.69 90.00
Sites, in units of the cell vectors:
Sb 0.690 0.125 0.250
Sb 0.060 0.625 0.250
Sb 0.375 0.310 0.750
Sb 0.875 0.940 0.750
Bi 0.000 0.000 0.000
Bi 0.750 0.250 0.500
Cl 0.500 0.500 0.000
Cl 0.250 0.750 0.500

As for the space-group type: No. 122.

#two
DFT (PBE) results for a relaxed BiSb2Cl crystal.

abc: 5.349 5.349 5.349
angles: 60.00 60.00 60.00
Sites, in units of the cell vectors:
Sb 0.250 0.250 0.250
Sb 0.750 0.750 0.750
Bi 0.500 0.500 0.500
Cl 0.000 0.000 0.000

As for the space-group type: No. 225.

Stability summary - winner: #one; margin: 140 meV per atom.

#one
DFT (PBE) results for a relaxed BiSbCl3 crystal.

abc: 5.537 5.537 5.537
angles: 90.00 90.00 90.00
Last column: magnetic moment on the atom in μB.
Sites, in units of the cell vectors:
Sb 0.500 0.500 0.500  1.00
Bi 0.000 0.000 0.000  0.02
Cl 0.000 0.500 0.000  0.03
Cl 0.000 0.000 0.500  0.07
Cl 0.500 0.000 0.000  0.04

As for the space-group type: No. 221.

#two
DFT (PBE) results for a relaxed BiSbCl3 crystal.

abc: 5.450 5.450 5.450
angles: 90.00 90.00 90.00
Last column: magnetic moment on the atom in μB.
Sites, in units of the cell vectors:
Sb 0.000 0.000 0.000  0.03
Bi 0.500 0.500 0.500  1.51
Cl 0.000 0.500 0.000  0.03
Cl 0.000 0.000 0.500  0.07
Cl 0.500 0.000 0.000  0.04

As for the space-group type: No. 221.

Stability summary - winner: #one; margin: 57 meV per atom.

#one
DFT (PBE) results for a relaxed Bi3SbCl crystal.

abc: 5.527 5.527 5.527
angles: 90.00 90.00 90.00
Sites, in units of the cell vectors:
Sb 0.500 0.500 0.500
Bi 0.000 0.500 0.000
Bi 0.000 0.000 0.500
Bi 0.500 0.000 0.000
Cl 0.000 0.000 0.000

As for the space-group type: No. 221.

#two
DFT (PBE) results for a relaxed Bi3SbCl crystal.

abc: 7.656 8.362 8.487
angles: 124.11 116.81 90.00
Sites, in units of the cell vectors:
Bi 0.865 0.715 0.253
Bi 0.138 0.446 0.275
Bi 0.389 0.715 0.253
Bi 0.611 0.285 0.747
Bi 0.135 0.285 0.747
Bi 0.862 0.554 0.725
Sb 0.862 0.999 0.723
Sb 0.138 0.001 0.277
Cl 0.363 0.647 0.725
Cl 0.637 0.353 0.275

As for the space-group type: No. 12.

Stability summary - winner: #two; margin: 708 meV per atom.

#one
DFT (PBE) results for a relaxed Bi2SbCl2 crystal.

abc: 9.261 9.261 3.255
angles: 90.00 90.00 90.00
Sites, in units of the cell vectors:
Sb 0.000 0.000 0.000
Sb 0.500 0.500 0.000
Bi 0.204 0.704 0.500
Bi 0.704 0.796 0.500
Bi 0.796 0.296 0.500
Bi 0.296 0.204 0.500
Cl 0.383 0.883 0.000
Cl 0.883 0.617 0.000
Cl 0.617 0.117 0.000
Cl 0.117 0.383 0.000

As for the space-group type: No. 127.

#two
DFT (PBE) results for a relaxed Bi2SbCl2 crystal.

abc: 4.612 4.612 10.024
angles: 76.23 76.23 57.77
Sites, in units of the cell vectors:
Bi 0.612 0.112 0.178
Bi 0.388 0.888 0.822
Sb 0.000 0.500 0.000
Cl 0.223 0.723 0.319
Cl 0.777 0.277 0.681

As for the space-group type: No. 12.

Stability summary - winner: #two; margin: 285 meV per atom.

#one
DFT (PBE) results for a relaxed ScBi2Cl crystal.

abc: 5.333 5.333 5.333
angles: 60.00 60.00 60.00
Sites, in units of the cell vectors:
Sc 0.500 0.500 0.500
Bi 0.250 0.250 0.250
Bi 0.750 0.750 0.750
Cl 0.000 0.000 0.000

As for the space-group type: No. 225.

#two
DFT (PBE) results for a relaxed ScBi2Cl crystal.

abc: 4.542 4.542 11.816
angles: 78.92 78.92 90.00
Sites, in units of the cell vectors:
Sc 0.000 0.000 0.000
Sc 0.750 0.250 0.500
Bi 0.656 0.125 0.250
Bi 0.094 0.625 0.250
Bi 0.375 0.344 0.750
Bi 0.875 0.906 0.750
Cl 0.500 0.500 0.000
Cl 0.250 0.750 0.500

As for the space-group type: No. 122.

Stability summary - winner: #two; margin: 199 meV per atom.

#one
DFT (PBE) results for a relaxed Sc2VBiCl crystal.

abc: 4.875 4.875 4.453
angles: 90.00 90.00 90.00
Last column: magnetic moment on the atom in μB.
Sites, in units of the cell vectors:
Sc 0.000 0.500 0.000  -0.04
Sc 0.500 0.000 0.000  -0.04
Cl 0.000 0.000 0.000  0.00
Bi 0.500 0.500 0.500  0.00
V 0.000 0.000 0.500  1.96

As for the space-group type: No. 123.

#two
DFT (PBE) results for a relaxed Sc2VBiCl crystal.

abc: 5.260 4.295 5.260
angles: 90.00 90.00 90.00
Sites, in units of the cell vectors:
Sc 0.000 0.000 0.500
Sc 0.500 0.000 0.000
Cl 0.000 0.500 0.000
Bi 0.500 0.500 0.500
V 0.000 0.000 0.000

As for the space-group type: No. 123.

Stability summary - winner: #one; margin: 204 meV per atom.

#one
DFT (PBE) results for a relaxed BiSe3Cl crystal.

abc: 5.648 5.648 5.648
angles: 90.00 90.00 90.00
Last column: magnetic moment on the atom in μB.
Sites, in units of the cell vectors:
Bi 0.000 0.000 0.000  -0.02
Se 0.000 0.500 0.000  0.65
Se 0.000 0.000 0.500  0.70
Se 0.500 0.000 0.000  0.71
Cl 0.500 0.500 0.500  0.47

As for the space-group type: No. 221.

#two
DFT (PBE) results for a relaxed BiSe3Cl crystal.

abc: 5.024 5.024 5.024
angles: 90.00 90.00 90.00
Sites, in units of the cell vectors:
Bi 0.500 0.500 0.500
Se 0.000 0.500 0.000
Se 0.000 0.000 0.500
Se 0.500 0.000 0.000
Cl 0.000 0.000 0.000

As for the space-group type: No. 221.

Stability summary - winner: #two; margin: 25 meV per atom.

#one
DFT (PBE) results for a relaxed BiSeCl2 crystal.

abc: 9.808 9.808 7.502
angles: 49.18 49.18 90.00
Last column: magnetic moment on the atom in μB.
Sites, in units of the cell vectors:
Bi 0.000 0.000 0.000  -0.02
Bi 0.750 0.250 0.500  -0.02
Se 0.500 0.500 0.000  0.51
Se 0.250 0.750 0.500  0.53
Cl 0.762 0.125 0.250  0.06
Cl 0.988 0.625 0.250  0.06
Cl 0.375 0.238 0.750  0.06
Cl 0.875 0.012 0.750  0.06

As for the space-group type: No. 122.

#two
DFT (PBE) results for a relaxed BiSeCl2 crystal.

abc: 5.079 5.079 5.079
angles: 60.00 60.00 60.00
Last column: magnetic moment on the atom in μB.
Sites, in units of the cell vectors:
Bi 0.500 0.500 0.500  -0.10
Se 0.000 0.000 0.000  0.56
Cl 0.250 0.250 0.250  0.10
Cl 0.750 0.750 0.750  0.10

As for the space-group type: No. 225.

Stability summary - winner: #one; margin: 354 meV per atom.

#one
DFT (PBE) results for a relaxed BiSeCl2 crystal.

abc: 3.830 6.059 6.066
angles: 72.96 78.25 79.07
Last column: magnetic moment on the atom in μB.
Sites, in units of the cell vectors:
Bi 0.747 0.871 0.629  -0.01
Se 0.255 0.163 0.338  0.47
Cl 0.118 0.932 0.968  0.08
Cl 0.380 0.533 0.565  0.08

As for the space-group type: No. 1.

#two
DFT (PBE) results for a relaxed BiSeCl2 crystal.

abc: 10.422 10.422 10.422
angles: 19.02 19.02 19.02
Last column: magnetic moment on the atom in μB.
Sites, in units of the cell vectors:
Bi 0.000 0.000 0.000  0.00
Se 0.500 0.500 0.500  0.45
Cl 0.914 0.914 0.914  0.04
Cl 0.086 0.086 0.086  0.04

As for the space-group type: No. 166.

Stability summary - winner: #one; margin: 527 meV per atom.

#one
DFT (PBE) results for a relaxed Bi2SeCl crystal.

abc: 5.265 5.265 5.265
angles: 60.00 60.00 60.00
Sites, in units of the cell vectors:
Bi 0.250 0.250 0.250
Bi 0.750 0.750 0.750
Se 0.500 0.500 0.500
Cl 0.000 0.000 0.000

As for the space-group type: No. 225.

#two
DFT (PBE) results for a relaxed Bi2SeCl crystal.

abc: 7.595 6.312 6.317
angles: 77.47 77.39 77.47
Sites, in units of the cell vectors:
Bi 0.971 0.323 0.406
Bi 0.963 0.926 0.188
Bi 0.565 0.498 0.581
Bi 0.572 0.716 0.978
Se 0.268 0.012 0.893
Se 0.768 0.071 0.832
Cl 0.548 0.936 0.394
Cl 0.988 0.509 0.968

As for the space-group type: No. 1.

Stability summary - winner: #two; margin: 177 meV per atom.